Record 1
10
Lattice="1.498 -13.823 0.000 1.498 13.823 0.000 0.000 0.000 4.558" Properties=species:S:1:pos:R:3 comment="PBE LiCdGa3, relaxed" de_polymorph_mev_per_atom=0.0 spacegroup="No. 63" m_tot_mub_per_atom=0.00 crystal_system=orthorhombic pbc="T T T"
Li 1.498 11.881 3.418
Li 1.498 -11.881 1.139
Cd 1.498 7.731 1.139
Cd 1.498 -7.731 3.418
Ga 1.498 4.582 1.139
Ga 1.498 3.216 3.418
Ga 1.498 0.615 3.418
Ga 1.498 -0.615 1.139
Ga 1.498 -3.216 1.139
Ga 1.498 -4.582 3.418

Record 2
8
Lattice="-2.366 2.366 11.179 2.366 -2.366 11.179 2.366 2.366 -11.179" Properties=species:S:1:pos:R:3 comment="PBE Cs2IrPd, relaxed" e_tot_ev_per_atom=-2.70 spacegroup="No. 122" m_tot_mub_per_atom=0.22 crystal_system=tetragonal pbc="T T T"
Cs 3.549 1.180 -2.795
Cs 1.180 1.183 2.795
Cs -1.183 1.186 8.384
Cs 1.186 1.183 13.974
Ir 2.366 0.000 5.590
Ir 0.000 0.000 11.179
Pd 0.000 0.000 0.000
Pd 0.000 2.366 5.590

The DOS at the Fermi energy results, record by record, are as follows: 0.267 1.507 states/eV/atom.